[1]
Entry from Alexandria: a geometry-optimized MnP3W structure (GGA-PBE).

The structure in CIF format:
```
data_MnP3W
_chemical_formula_sum 'Mn1 P3 W1'
_space_group_name_H-M_alt 'P m -3 m'
_space_group_IT_number 221
_space_group_name_Hall '-P 4 2 3'
_cell_length_a 4.3693
_cell_length_b 4.3693
_cell_length_c 4.3693
_cell_angle_alpha 90.00
_cell_angle_beta 90.00
_cell_angle_gamma 90.00
loop_
_atom_site_label
_atom_site_type_symbol
_atom_site_fract_x
_atom_site_fract_y
_atom_site_fract_z
Mn1 Mn 0.0000 0.0000 0.0000
P1 P 0.0000 0.0000 0.5000
W1 W 0.5000 0.5000 0.5000
```

Calculated values
Energy of formation in eV/atom: 1.026
Total magnetic moment in μB/f.u.: 4.4
E above lowest polymorph in meV/atom: 0

[2]
Entry from Alexandria: a geometry-optimized La3Sm6Er structure (GGA-PBE).

The structure in CIF format:
```
data_La3Sm6Er
_chemical_formula_sum 'La12 Sm24 Er4'
_space_group_name_H-M_alt 'C m c 21'
_space_group_IT_number 36
_cell_length_a 13.4764
_cell_length_b 16.3605
_cell_length_c 6.3569
_cell_angle_alpha 90.00
_cell_angle_beta 90.00
_cell_angle_gamma 90.00
loop_
_space_group_symop_operation_xyz
'x,y,z'
'-x,-y,z+1/2'
'-x,y,z'
'x,-y,z+1/2'
'x+1/2,y+1/2,z'
'-x+1/2,-y+1/2,z+1/2'
'-x+1/2,y+1/2,z'
'x+1/2,-y+1/2,z+1/2'
loop_
_atom_site_label
_atom_site_type_symbol
_atom_site_fract_x
_atom_site_fract_y
_atom_site_fract_z
La1 La 0.0000 0.1354 0.0000
La2 La 0.2071 0.4263 0.3663
Sm1 Sm 0.0000 0.2417 0.5295
Sm2 Sm 0.0000 0.4397 0.6495
Sm3 Sm 0.1192 0.0596 0.4842
Sm4 Sm 0.2234 0.2901 0.8168
Er1 Er 0.0000 0.3466 0.0964
```

Calculated values
Energy of formation in eV/atom: 0.179
Total magnetic moment in μB/f.u.: 0.0

[3]
Entry from Alexandria: a geometry-optimized InCCl2 structure (GGA-PBE).

The structure in CIF format:
```
data_InCCl2
_chemical_formula_sum 'In3 C3 Cl6'
_space_group_name_H-M_alt 'R -3 m'
_space_group_IT_number 166
_space_group_name_Hall '-R 3 2"'
_cell_length_a 3.4024
_cell_length_b 3.4024
_cell_length_c 26.3853
_cell_angle_alpha 90.00
_cell_angle_beta 90.00
_cell_angle_gamma 120.00
loop_
_atom_site_label
_atom_site_type_symbol
_atom_site_fract_x
_atom_site_fract_y
_atom_site_fract_z
In1 In 0.0000 0.0000 0.0000
C1 C 0.0000 0.0000 0.5000
Cl1 Cl 0.0000 0.0000 0.1167
```

Calculated values
Formation energy from raw total energies in eV per atom: 1.0996
Total magnetic moment in μB/f.u.: 0.0
E above lowest polymorph in meV/atom: 158

[4]
Entry from Alexandria: a geometry-optimized ScNiIrRh structure (GGA-PBE).

The structure in CIF format:
```
data_ScNiIrRh
_chemical_formula_sum 'Sc4 Ni4 Ir4 Rh4'
_space_group_name_H-M_alt 'F -4 3 m'
_space_group_IT_number 216
_space_group_name_Hall 'F -4 2 3'
_cell_length_a 6.1830
_cell_length_b 6.1830
_cell_length_c 6.1830
_cell_angle_alpha 90.00
_cell_angle_beta 90.00
_cell_angle_gamma 90.00
loop_
_atom_site_label
_atom_site_type_symbol
_atom_site_fract_x
_atom_site_fract_y
_atom_site_fract_z
Sc1 Sc 0.0000 0.0000 0.0000
Ni1 Ni 0.0000 0.0000 0.5000
Ir1 Ir 0.2500 0.2500 0.7500
Rh1 Rh 0.2500 0.2500 0.2500
```

Calculated values
Energy of formation in eV/atom: -0.357
Total magnetic moment in μB/f.u.: 0.8
E above lowest polymorph in meV/atom: 176

[5]
Entry from Alexandria: a geometry-optimized Ni3Cl5 structure (GGA-PBE).

The structure in CIF format:
```
data_Ni3Cl5
_chemical_formula_sum 'Ni6 Cl10'
_space_group_name_H-M_alt 'P 63/m c m'
_space_group_IT_number 193
_space_group_name_Hall '-P 6c 2'
_cell_length_a 6.7959
_cell_length_b 6.7959
_cell_length_c 7.9055
_cell_angle_alpha 90.00
_cell_angle_beta 90.00
_cell_angle_gamma 120.00
loop_
_atom_site_label
_atom_site_type_symbol
_atom_site_fract_x
_atom_site_fract_y
_atom_site_fract_z
Ni1 Ni 0.0000 0.4067 0.2500
Cl1 Cl 0.0000 0.2651 0.7500
Cl2 Cl 0.3333 0.6667 0.0000
```

Calculated values
Formation energy from raw total energies in eV per atom: -0.0863
Total magnetic moment in μB/f.u.: 5.0

[6]
Entry from Alexandria: a geometry-optimized LaSmAu4 structure (GGA-PBE).

The structure in CIF format:
```
data_LaSmAu4
_chemical_formula_sum 'La1 Sm1 Au4'
_space_group_name_H-M_alt 'P -1'
_space_group_IT_number 2
_cell_length_a 3.8620
_cell_length_b 5.3754
_cell_length_c 7.7444
_cell_angle_alpha 70.27
_cell_angle_beta 75.91
_cell_angle_gamma 69.40
loop_
_space_group_symop_operation_xyz
'x,y,z'
'-x,-y,-z'
loop_
_atom_site_label
_atom_site_type_symbol
_atom_site_fract_x
_atom_site_fract_y
_atom_site_fract_z
La1 La 0.0000 0.0000 0.0000
Sm1 Sm 0.0000 0.5000 0.5000
Au1 Au 0.3352 0.9939 0.3395
Au2 Au 0.3410 0.5057 0.8213
```

Calculated values
Energy of formation in eV/atom: -0.789
Total magnetic moment in μB/f.u.: 0.0